A plane-wave DFT calculation with PBEsol was carried out for an optimized crystal structure of Rb2InAgBr6.

abc: 7.6681 7.6681 7.6681
angles: 60.00 60.00 60.00
Closest atoms and distances in Å follow each position.
Fractional coordinates of all 10 atoms:
Rb 0.7500 0.7500 0.7500  12 Br 3.83
Rb 0.2500 0.2500 0.2500  12 Br 3.83
In 0.0000 0.0000 0.0000  6 Br 2.68
Ag 0.5000 0.5000 0.5000  6 Br 2.74
Br 0.7528 0.2472 0.2472  1 In 2.68, 1 Ag 2.74
Br 0.7528 0.7528 0.2472  1 In 2.68, 1 Ag 2.74
Br 0.2472 0.7528 0.7528  1 In 2.68, 1 Ag 2.74
Br 0.7528 0.2472 0.7528  1 In 2.68, 1 Ag 2.74
Br 0.2472 0.7528 0.2472  1 In 2.68, 1 Ag 2.74
Br 0.2472 0.2472 0.7528  1 In 2.68, 1 Ag 2.74

Output
Final energy, eV for the cell shown: -30.46
Size of the total moment, μB/f.u.: 0.00
Space group: Fm-3m (225)
Energy relative to the elements, uncorrected, meV/atom: -1089

A plane-wave DFT calculation with PBEsol was carried out for an optimized crystal structure of FePt2Rh.

abc: 2.6992 2.6992 7.5184
angles: 90.00 90.00 90.00
Closest atoms and distances in Å follow each position.
Fractional coordinates of all 4 atoms:
Rh 0.0000 0.0000 0.5173  4 Fe 2.56, 4 Rh 2.70, 4 Pt 2.73
Fe 0.5000 0.5000 0.7441  4 Rh 2.56, 4 Pt 2.61, 4 Fe 2.70
Pt 0.0000 0.0000 0.9817  4 Fe 2.61, 8 Pt 2.70-2.82
Pt 0.5000 0.5000 0.2570  8 Pt 2.70-2.82, 4 Rh 2.73

Output
Final energy, eV for the cell shown: -31.33
Size of the total moment, μB/f.u.: 2.66
Space group: P4mm (99)
Formation enthalpy at 0 K, eV/atom: -0.075